# 1
VASP calculation (PBE) on a relaxed ReSi2Hg crystal.

abc: 5.7242 5.7242 11.5972
angles: 90.00 90.00 90.00
Closest atoms and distances in Å follow each position.
Space group I-42d (No. 122)
Symmetry-distinct sites (fractional):
Re  0.0000  0.0000  0.0000  4 Si 2.33
Si  0.1959  0.2500  0.1250  2 Re 2.33
Hg  0.0000  0.0000  0.5000  4 Si 2.68

Crystal system: tetragonal
Raw formation energy in eV/atom: 0.73
Total energy in eV per cell: -82.7

# 2
VASP calculation (PBE) on a relaxed ReSi2Hg crystal.

abc: 3.8827 3.8827 8.4137
angles: 90.00 90.00 90.00
Closest atoms and distances in Å follow each position.
Space group I-4m2 (No. 119)
Symmetry-distinct sites (fractional):
Re  0.0000  0.0000  0.0000  8 Si 2.75-2.86, 4 Hg 2.86
Si  0.0000  0.0000  0.5000  4 Re 2.75, 4 Hg 2.86, 4 Si 2.86
Si  0.0000  0.5000  0.7500  4 Hg 2.75, 4 Re 2.86, 4 Si 2.86
Hg  0.0000  0.5000  0.2500  8 Si 2.75-2.86, 4 Re 2.86

Crystal system: tetragonal
Raw formation energy in eV/atom: 0.77
Total energy in eV per cell: -41.0

# 3
VASP calculation (PBE) on a relaxed ReSi2Hg crystal.

abc: 4.1065 4.1065 7.4750
angles: 90.00 90.00 90.00
Closest atoms and distances in Å follow each position.
Space group I4/mmm (No. 139)
Symmetry-distinct sites (fractional):
Re  0.0000  0.0000  0.0000  8 Si 2.78, 4 Hg 2.90
Si  0.0000  0.5000  0.2500  4 Hg 2.78, 4 Re 2.78, 4 Si 2.90
Hg  0.0000  0.0000  0.5000  8 Si 2.78, 4 Re 2.90

Crystal system: tetragonal
Raw formation energy in eV/atom: 0.69
Total energy in eV per cell: -41.7

# 4
VASP calculation (PBE) on a relaxed ReSiHg crystal.

abc: 5.9474 5.9474 5.9474
angles: 90.00 90.00 90.00
Closest atoms and distances in Å follow each position.
Space group F-43m (No. 216)
Symmetry-distinct sites (fractional):
Re  0.0000  0.0000  0.0000  4 Si 2.58
Si  0.2500  0.2500  0.2500  4 Hg 2.58, 4 Re 2.58
Hg  0.0000  0.0000  0.5000  4 Si 2.58

Crystal system: cubic
Raw formation energy in eV/atom: 0.70
Relative energy among the computed polymorphs in eV per formula unit: 0.79
Total energy in eV per cell: -64.3

# 5
VASP calculation (PBE) on a relaxed Re2SiHg crystal.

abc: 8.4870 2.9163 5.4242
angles: 90.00 102.76 90.00
Closest atoms and distances in Å follow each position.
Space group C2/m (No. 12)
Symmetry-distinct sites (fractional):
Re  0.2346  0.0000  0.1976  3 Si 2.51-2.70, 2 Re 2.65
Si  0.0000  0.5000  0.0000  6 Re 2.51-2.70
Hg  0.0000  0.0000  0.5000  6 Re 2.85-2.87, 2 Hg 2.92, 4 Si 3.08

Crystal system: monoclinic
Raw formation energy in eV/atom: 0.51
Relative energy among the computed polymorphs in eV per formula unit: 0.88
Total energy in eV per cell: -57.1

# 6
VASP calculation (PBE) on a relaxed ReSiHg2 crystal.

abc: 6.5995 6.5995 6.5995
angles: 90.00 90.00 90.00
Closest atoms and distances in Å follow each position.
Space group F-43m (No. 216)
Symmetry-distinct sites (fractional):
Re  0.0000  0.0000  0.0000  4 Si 2.86, 4 Hg 2.86
Si  0.2500  0.2500  0.7500  4 Hg 2.86, 4 Re 2.86
Hg  0.0000  0.0000  0.5000  4 Hg 2.86, 4 Si 2.86
Hg  0.2500  0.2500  0.2500  4 Hg 2.86, 4 Re 2.86

Crystal system: cubic
Raw formation energy in eV/atom: 1.01
Total energy in eV per cell: -57.7

# 7
VASP calculation (PBE) on a relaxed ReSiHg2 crystal.

abc: 2.8825 2.8825 31.5135
angles: 90.00 90.00 120.00
Closest atoms and distances in Å follow each position.
Space group R-3m (No. 166, hexagonal axes)
Symmetry-distinct sites (fractional):
Re  0.0000  0.0000  0.0000  6 Re 2.88, 6 Hg 2.98
Si  0.0000  0.0000  0.5000  6 Si 2.88
Hg  0.0000  0.0000  0.2548  6 Hg 2.88, 3 Re 2.98

Crystal system: trigonal
Raw formation energy in eV/atom: 0.82
Total energy in eV per cell: -45.6

# 8
VASP calculation (PBE) on a relaxed ReSiHg4 crystal.

abc: 8.0403 8.0403 8.0403
angles: 90.00 90.00 90.00
Closest atoms and distances in Å follow each position.
Space group F-43m (No. 216)
Symmetry-distinct sites (fractional):
Re  0.0000  0.0000  0.0000  12 Hg 3.33, 4 Si 3.48
Si  0.2500  0.2500  0.7500  12 Hg 3.33, 4 Re 3.48
Hg  0.1251  0.1251  0.3749  6 Hg 2.84-2.85

Crystal system: cubic
Raw formation energy in eV/atom: 1.20
Total energy in eV per cell: -47.5

# 9
VASP calculation (PBE) on a relaxed ReSiHg3 crystal.

abc: 5.2622 5.2622 5.2622
angles: 90.00 90.00 90.00
Closest atoms and distances in Å follow each position.
Space group Pm-3m (No. 221)
Symmetry-distinct sites (fractional):
Re  0.0000  0.0000  0.0000  6 Hg 2.63
Si  0.5000  0.5000  0.5000  12 Hg 3.72
Hg  0.0000  0.0000  0.5000  2 Re 2.63

Crystal system: cubic
Raw formation energy in eV/atom: 1.37
Relative energy among the computed polymorphs in eV per formula unit: 0.00
Total energy in eV per cell: -11.9

# 10
VASP calculation (PBE) on a relaxed ReSiHg2 crystal.

abc: 3.8778 3.8778 9.5639
angles: 90.00 90.00 90.00
Closest atoms and distances in Å follow each position.
Space group I4/mmm (No. 139)
Symmetry-distinct sites (fractional):
Re  0.0000  0.0000  0.0000  4 Si 2.74
Si  0.0000  0.0000  0.5000  4 Re 2.74
Hg  0.0000  0.5000  0.2500  4 Hg 2.74

Crystal system: tetragonal
Raw formation energy in eV/atom: 0.84
Total energy in eV per cell: -30.2

# 11
VASP calculation (PBE) on a relaxed ReSi2Hg crystal.

abc: 3.2587 3.2587 6.2449
angles: 90.00 90.00 90.00
Closest atoms and distances in Å follow each position.
Space group P4mm (No. 99)
Symmetry-distinct sites (fractional):
Re  0.0000  0.0000  0.0000  5 Si 2.38-2.48
Si  0.0000  0.0000  0.3814  1 Re 2.38
Si  0.5000  0.5000  0.1479  4 Re 2.48, 4 Si 2.73
Hg  0.5000  0.5000  0.6652  6 Si 2.91-3.23, 4 Re 3.11

Crystal system: tetragonal
Raw formation energy in eV/atom: 0.39
Total energy in eV per cell: -22.0

# 12
VASP calculation (PBE) on a relaxed ReSiHg crystal.

abc: 6.1373 6.1373 6.1373
angles: 90.00 90.00 90.00
Closest atoms and distances in Å follow each position.
Space group F-43m (No. 216)
Symmetry-distinct sites (fractional):
Re  0.0000  0.0000  0.0000  4 Hg 2.66, 4 Si 2.66
Si  0.2500  0.2500  0.2500  4 Re 2.66
Hg  0.2500  0.2500  0.7500  4 Re 2.66

Crystal system: cubic
Raw formation energy in eV/atom: 0.87
Relative energy among the computed polymorphs in eV per formula unit: 1.32
Total energy in eV per cell: -62.3